Compound: Pu2ZnGeAu6
Source: Alexandria
Functional: PBE
Structure: optimized geometry

Results
**DOS(E_F)**: 2.63 states/eV/atom
**ΔH_f (0 K)**: -0.23 eV/atom

a = 5.4843 Å, b = 6.7920 Å, c = 6.8822 Å
α = 70.14°, β = 66.68°, γ = 66.22°
Space group P-1 (No. 2)
Unique sites:
Pu 0.0070 0.2585 0.2267
Zn 0.5000 0.0000 0.5000
Ge 0.5000 0.5000 0.0000
Au 0.0095 0.3078 0.6713
Au 0.3281 0.9246 0.9196
Au 0.4879 0.6923 0.3293